Computed, not measured: a relaxed structure of Pr2Ho2CI2Br3 at the PBE-GGA level of DFT.

Structure (POSCAR):
```
Pr2Ho2CI2Br3
1.0
0.438 3.635 -8.854
-0.641 -0.113 -9.559
-8.049 1.911 2.159
Br C Ho I Pr
3 1 2 2 2
Direct
0.829 0.829 0.152
0.500 0.500 0.500
0.171 0.171 0.848
0.500 0.500 0.000
0.630 0.630 0.061
0.370 0.370 0.939
0.169 0.169 0.334
0.831 0.831 0.666
0.997 0.997 0.205
0.003 0.003 0.795
```

For the total energy, the calculation gives -4.892 eV per atom. The energy above the lowest structure with this stoichiometry comes out at 0.06 eV per formula unit.

=====

Computed, not measured: a relaxed structure of Pr2Ho2CI2Br3 at the PBE-GGA level of DFT.

Structure (POSCAR):
```
Pr2Ho2CI2Br3
1.0
-2.820 -7.534 -4.897
-1.304 -9.174 -1.684
-6.914 1.992 4.277
Br C Ho I Pr
3 1 2 2 2
Direct
0.837 0.837 0.191
0.500 0.500 0.500
0.163 0.163 0.809
0.500 0.500 0.000
0.998 0.998 0.196
0.002 0.002 0.804
0.163 0.163 0.365
0.837 0.837 0.635
0.641 0.641 0.067
0.359 0.359 0.933
```

For the total energy, the calculation gives -4.871 eV per atom. The energy above the lowest structure with this stoichiometry comes out at 0.27 eV per formula unit.

=====

Computed, not measured: a relaxed structure of Pr2Ho2CI2Br3 at the PBE-GGA level of DFT.

Structure (POSCAR):
```
Pr2Ho2CI2Br3
1.0
-4.303 4.457 7.445
-5.979 0.858 7.571
6.998 -3.132 3.618
Br C Ho I Pr
3 1 2 2 2
Direct
0.162 0.162 0.316
0.500 0.500 0.500
0.838 0.838 0.684
0.500 0.500 0.000
0.629 0.629 0.066
0.371 0.371 0.934
0.827 0.827 0.173
0.173 0.173 0.827
0.000 0.000 0.207
0.000 0.000 0.793
```

For the total energy, the calculation gives -4.897 eV per atom. The energy above the lowest structure with this stoichiometry comes out at 0.00 eV per formula unit.

=====

Computed, not measured: a relaxed structure of Ho2Sc2CI2Br3 at the PBE-GGA level of DFT.

Structure (POSCAR):
```
Ho2Sc2CI2Br3
1.0
-4.614 3.083 -8.432
-4.014 -0.547 -9.246
-6.293 -2.064 4.566
Br C Ho I Sc
3 1 2 2 2
Direct
0.147 0.147 0.313
0.500 0.500 0.500
0.853 0.853 0.687
0.500 0.500 0.000
0.999 0.999 0.201
0.001 0.001 0.799
0.841 0.841 0.172
0.159 0.159 0.828
0.615 0.615 0.062
0.385 0.385 0.938
```

For the total energy, the calculation gives -5.194 eV per atom. The energy above the lowest structure with this stoichiometry comes out at 0.00 eV per formula unit.

=====

Computed, not measured: a relaxed structure of Ho2Sc2CI4Br at the PBE-GGA level of DFT.

Structure (POSCAR):
```
Ho2Sc2CI4Br
1.0
-3.955 -0.498 9.575
-4.738 -4.018 8.305
7.709 -2.214 1.380
Br C Ho I Sc
1 1 2 4 2
Direct
0.500 0.500 0.000
0.500 0.500 0.500
0.000 0.000 0.300
0.000 0.000 0.700
0.847 0.847 0.174
0.154 0.154 0.324
0.846 0.846 0.676
0.153 0.153 0.826
0.388 0.388 0.445
0.612 0.612 0.555
```

For the total energy, the calculation gives -5.033 eV per atom. The energy above the lowest structure with this stoichiometry comes out at 0.00 eV per formula unit.

=====

Computed, not measured: a relaxed structure of Ho2Sc2CI2Br3 at the PBE-GGA level of DFT.

Structure (POSCAR):
```
Ho2Sc2CI2Br3
1.0
9.087 -1.887 0.000
9.087 1.887 0.000
-1.597 0.000 7.805
Br C Ho I Sc
3 1 2 2 2
Direct
0.152 0.152 0.335
0.500 0.500 0.500
0.848 0.848 0.665
0.500 0.500 0.000
0.632 0.632 0.067
0.368 0.368 0.933
0.831 0.831 0.200
0.169 0.169 0.800
0.999 0.999 0.188
0.001 0.001 0.812
```

For the total energy, the calculation gives -5.147 eV per atom. The energy above the lowest structure with this stoichiometry comes out at 0.47 eV per formula unit.

=====

Computed, not measured: a relaxed structure of Ho2Sc2CI3Br2 at the PBE-GGA level of DFT.

Structure (POSCAR):
```
Ho2Sc2CI3Br2
1.0
9.827 -1.915 0.000
9.827 1.915 0.000
-1.601 0.000 7.982
Br C Ho I Sc
2 1 2 3 2
Direct
0.853 0.853 0.184
0.147 0.147 0.816
0.500 0.500 0.000
0.620 0.620 0.052
0.380 0.380 0.948
0.155 0.155 0.339
0.500 0.500 0.500
0.845 0.845 0.661
0.000 0.000 0.182
0.000 0.000 0.818
```

For the total energy, the calculation gives -5.066 eV per atom. The energy above the lowest structure with this stoichiometry comes out at 0.46 eV per formula unit.

=====

Computed, not measured: a relaxed structure of Ho2Sc2CIBr4 at the PBE-GGA level of DFT.

Structure (POSCAR):
```
Ho2Sc2CIBr4
1.0
-1.507 -8.547 2.080
1.389 -7.685 4.320
-5.001 4.032 4.913
Br C Ho I Sc
4 1 2 1 2
Direct
0.833 0.833 0.172
0.162 0.162 0.338
0.838 0.838 0.662
0.167 0.167 0.828
0.500 0.500 0.000
0.638 0.638 0.072
0.362 0.362 0.928
0.500 0.500 0.500
0.000 0.000 0.184
0.000 0.000 0.816
```

For the total energy, the calculation gives -5.247 eV per atom. The energy above the lowest structure with this stoichiometry comes out at 0.25 eV per formula unit.

=====

Computed, not measured: a relaxed structure of Ho2Sc2CI2Br3 at the PBE-GGA level of DFT.

Structure (POSCAR):
```
Ho2Sc2CI2Br3
1.0
9.800 -1.891 0.000
9.800 1.891 0.000
-1.517 0.000 7.776
Br C Ho I Sc
3 1 2 2 2
Direct
0.853 0.853 0.192
0.500 0.500 0.500
0.147 0.147 0.808
0.500 0.500 0.000
0.621 0.621 0.052
0.379 0.379 0.948
0.155 0.155 0.348
0.845 0.845 0.652
0.000 0.000 0.190
0.000 0.000 0.810
```

For the total energy, the calculation gives -5.134 eV per atom. The energy above the lowest structure with this stoichiometry comes out at 0.60 eV per formula unit.

=====

Computed, not measured: a relaxed structure of Ho2Sc2CI4Br at the PBE-GGA level of DFT.

Structure (POSCAR):
```
Ho2Sc2CI4Br
1.0
-2.712 7.824 -5.905
-0.658 5.722 -8.382
-6.335 -5.030 -0.986
Br C Ho I Sc
1 1 2 4 2
Direct
0.500 0.500 0.500
0.500 0.500 0.000
0.619 0.619 0.058
0.381 0.381 0.942
0.848 0.848 0.196
0.151 0.151 0.345
0.849 0.849 0.655
0.152 0.152 0.804
0.000 0.000 0.185
0.000 0.000 0.815
```

For the total energy, the calculation gives -4.961 eV per atom. The energy above the lowest structure with this stoichiometry comes out at 0.72 eV per formula unit.

=====

Computed, not measured: a relaxed structure of Ho2Sc2CIBr4 at the PBE-GGA level of DFT.

Structure (POSCAR):
```
Ho2Sc2CIBr4
1.0
-6.836 -0.841 7.106
-8.884 -1.610 4.053
3.273 -7.777 -0.237
Br C Ho I Sc
4 1 2 1 2
Direct
0.848 0.848 0.149
0.152 0.152 0.298
0.848 0.848 0.702
0.152 0.152 0.851
0.500 0.500 0.000
0.000 0.000 0.192
0.000 0.000 0.808
0.500 0.500 0.500
0.617 0.617 0.058
0.383 0.383 0.942
```

For the total energy, the calculation gives -5.272 eV per atom. The energy above the lowest structure with this stoichiometry comes out at 0.00 eV per formula unit.

=====

Computed, not measured: a relaxed structure of Ho2Sc2CI3Br2 at the PBE-GGA level of DFT.

Structure (POSCAR):
```
Ho2Sc2CI3Br2
1.0
9.172 -1.912 0.000
9.172 1.912 0.000
-1.658 0.000 8.004
Br C Ho I Sc
2 1 2 3 2
Direct
0.151 0.151 0.327
0.849 0.849 0.673
0.500 0.500 0.000
0.630 0.630 0.067
0.370 0.370 0.933
0.832 0.832 0.191
0.500 0.500 0.500
0.168 0.168 0.809
0.999 0.999 0.181
0.001 0.001 0.819
```

For the total energy, the calculation gives -5.079 eV per atom. The energy above the lowest structure with this stoichiometry comes out at 0.34 eV per formula unit.

=====

Computed, not measured: a relaxed structure of Ho2Sc2CI3Br2 at the PBE-GGA level of DFT.

Structure (POSCAR):
```
Ho2Sc2CI3Br2
1.0
9.963 -1.905 0.000
9.963 1.905 0.000
-1.815 0.000 8.229
Br C Ho I Sc
2 1 2 3 2
Direct
0.148 0.148 0.302
0.852 0.852 0.698
0.500 0.500 0.000
0.000 0.000 0.191
0.000 0.000 0.809
0.842 0.842 0.161
0.500 0.500 0.500
0.158 0.158 0.839
0.614 0.614 0.062
0.386 0.386 0.938
```

For the total energy, the calculation gives -5.113 eV per atom. The energy above the lowest structure with this stoichiometry comes out at 0.00 eV per formula unit.

=====

Computed, not measured: a relaxed structure of Sm2Ho2CI4Br at the PBE-GGA level of DFT.

Structure (POSCAR):
```
Sm2Ho2CI4Br
1.0
-2.468 1.178 9.260
-0.021 -1.901 9.467
6.616 5.203 -0.790
Br C Ho I Sm
1 1 2 4 2
Direct
0.500 0.500 0.000
0.500 0.500 0.500
0.001 0.001 0.306
0.999 0.999 0.694
0.838 0.838 0.143
0.167 0.167 0.307
0.833 0.833 0.693
0.162 0.162 0.857
0.365 0.365 0.432
0.635 0.635 0.568
```

For the total energy, the calculation gives -4.712 eV per atom.

=====

Computed, not measured: a relaxed structure of Sm2Ho2CIBr4 at the PBE-GGA level of DFT.

Structure (POSCAR):
```
Sm2Ho2CIBr4
1.0
-4.316 -0.930 -8.015
-6.217 -3.445 -5.763
-4.084 6.403 3.703
Br C Ho I Sm
4 1 2 1 2
Direct
0.832 0.832 0.174
0.162 0.162 0.340
0.838 0.838 0.660
0.168 0.168 0.826
0.500 0.500 0.000
0.000 0.000 0.191
0.000 0.000 0.809
0.500 0.500 0.500
0.642 0.642 0.074
0.358 0.358 0.926
```

For the total energy, the calculation gives -4.970 eV per atom. The energy above the lowest structure with this stoichiometry comes out at 0.03 eV per formula unit.

=====

Computed, not measured: a relaxed structure of Sm2Ho2CIBr4 at the PBE-GGA level of DFT.

Structure (POSCAR):
```
Sm2Ho2CIBr4
1.0
8.961 -1.955 0.000
8.961 1.955 0.000
-2.017 0.000 8.452
Br C Ho I Sm
4 1 2 1 2
Direct
0.827 0.827 0.148
0.169 0.169 0.315
0.831 0.831 0.685
0.173 0.173 0.852
0.500 0.500 0.000
0.637 0.637 0.069
0.363 0.363 0.931
0.500 0.500 0.500
0.999 0.999 0.194
0.001 0.001 0.806
```

For the total energy, the calculation gives -4.973 eV per atom. The energy above the lowest structure with this stoichiometry comes out at 0.00 eV per formula unit.

=====

Computed, not measured: a relaxed structure of Y2Ho2CI4Br at the PBE-GGA level of DFT.

Structure (POSCAR):
```
Y2Ho2CI4Br
1.0
-5.965 -7.199 -2.746
-2.534 -9.072 -2.495
-0.727 -0.218 8.297
Br C Ho I Y
1 1 2 4 2
Direct
0.500 0.500 0.500
0.500 0.500 0.000
0.000 0.000 0.196
0.000 0.000 0.804
0.833 0.833 0.187
0.162 0.162 0.349
0.838 0.838 0.651
0.167 0.167 0.813
0.629 0.629 0.064
0.371 0.371 0.936
```

For the total energy, the calculation gives -5.066 eV per atom. The energy above the lowest structure with this stoichiometry comes out at 0.04 eV per formula unit.

=====

Computed, not measured: a relaxed structure of Y2Ho2CI3Br2 at the PBE-GGA level of DFT.

Structure (POSCAR):
```
Y2Ho2CI3Br2
1.0
-0.800 1.757 9.259
-2.693 -1.648 8.916
7.387 -4.068 -0.387
Br C Ho I Y
2 1 2 3 2
Direct
0.157 0.157 0.325
0.843 0.843 0.675
0.500 0.500 0.000
0.999 0.999 0.191
0.001 0.001 0.809
0.829 0.829 0.184
0.500 0.500 0.500
0.171 0.171 0.816
0.633 0.633 0.069
0.367 0.367 0.931
```

For the total energy, the calculation gives -5.162 eV per atom. The energy above the lowest structure with this stoichiometry comes out at 0.00 eV per formula unit.

=====

Computed, not measured: a relaxed structure of Y2Ho2CI3Br2 at the PBE-GGA level of DFT.

Structure (POSCAR):
```
Y2Ho2CI3Br2
1.0
-3.906 4.212 7.505
-1.573 1.562 9.187
6.756 4.944 -1.581
Br C Ho I Y
2 1 2 3 2
Direct
0.837 0.837 0.166
0.163 0.163 0.834
0.500 0.500 0.000
0.000 0.000 0.189
0.000 0.000 0.811
0.168 0.168 0.341
0.500 0.500 0.500
0.832 0.832 0.659
0.633 0.633 0.062
0.367 0.367 0.938
```

For the total energy, the calculation gives -5.153 eV per atom. The energy above the lowest structure with this stoichiometry comes out at 0.09 eV per formula unit.

=====

Computed, not measured: a relaxed structure of Y2Ho2CI2Br3 at the PBE-GGA level of DFT.

Structure (POSCAR):
```
Y2Ho2CI2Br3
1.0
-3.141 8.646 -2.224
-5.080 6.439 -4.722
-5.138 -2.218 5.950
Br C Ho I Y
3 1 2 2 2
Direct
0.157 0.157 0.337
0.500 0.500 0.500
0.843 0.843 0.663
0.500 0.500 0.000
0.000 0.000 0.199
0.000 0.000 0.801
0.830 0.830 0.191
0.170 0.170 0.809
0.633 0.633 0.071
0.367 0.367 0.929
```

For the total energy, the calculation gives -5.236 eV per atom. The energy above the lowest structure with this stoichiometry comes out at 0.00 eV per formula unit.